{
  "formula": "Li4Ce3NpSe8",
  "functional": "GGA-PBE",
  "state": "optimized geometry",
  "magnetic_moment_mub_per_cell": 1.51,
  "raw_formation_energy_ev_per_atom": -1.49,
  "final_energy_ev_per_cell": -90.08,
  "cell": [[4.201, 2.425, 6.487], [-4.201, 2.425, 6.487], [0.000, -4.850, 6.487]],
  "species": ["Li", "Li", "Li", "Li", "Ce", "Ce", "Ce", "Np", "Se", "Se", "Se", "Se", "Se", "Se", "Se", "Se"],
  "frac_coords": [[0.000, 0.000, 0.000], [0.000, 0.500, 0.500], [0.500, 0.000, 0.500], [0.500, 0.500, 0.000], [0.000, 0.000, 0.500], [0.000, 0.500, 0.000], [0.500, 0.000, 0.000], [0.500, 0.500, 0.500], [0.249, 0.249, 0.745], [0.249, 0.745, 0.249], [0.253, 0.253, 0.253], [0.255, 0.751, 0.751], [0.745, 0.249, 0.249], [0.747, 0.747, 0.747], [0.751, 0.255, 0.751], [0.751, 0.751, 0.255]]
}

{
  "formula": "LiY2Cr",
  "functional": "GGA-PBE",
  "state": "optimized geometry",
  "magnetic_moment_mub_per_cell": 2.90,
  "e_form_ev_per_atom": 0.213,
  "final_energy_ev_per_cell": -23.62,
  "cell": [[3.544, 0.000, 0.000], [0.000, 3.565, 0.000], [-0.008, 0.000, 7.753]],
  "species": ["Li", "Y", "Y", "Cr"],
  "frac_coords": [[0.000, 0.000, 0.000], [0.500, 0.500, 0.278], [0.500, 0.500, 0.722], [0.000, 0.000, 0.500]]
}

Please write out number 1 again, unchanged.
{
  "formula": "Li4Ce3NpSe8",
  "functional": "GGA-PBE",
  "state": "optimized geometry",
  "magnetic_moment_mub_per_cell": 1.51,
  "raw_formation_energy_ev_per_atom": -1.49,
  "final_energy_ev_per_cell": -90.08,
  "cell": [[4.201, 2.425, 6.487], [-4.201, 2.425, 6.487], [0.000, -4.850, 6.487]],
  "species": ["Li", "Li", "Li", "Li", "Ce", "Ce", "Ce", "Np", "Se", "Se", "Se", "Se", "Se", "Se", "Se", "Se"],
  "frac_coords": [[0.000, 0.000, 0.000], [0.000, 0.500, 0.500], [0.500, 0.000, 0.500], [0.500, 0.500, 0.000], [0.000, 0.000, 0.500], [0.000, 0.500, 0.000], [0.500, 0.000, 0.000], [0.500, 0.500, 0.500], [0.249, 0.249, 0.745], [0.249, 0.745, 0.249], [0.253, 0.253, 0.253], [0.255, 0.751, 0.751], [0.745, 0.249, 0.249], [0.747, 0.747, 0.747], [0.751, 0.255, 0.751], [0.751, 0.751, 0.255]]
}